{
  "formula": "Tb2PmCo",
  "functional": "GGA-PBE",
  "state": "relaxed",
  "crystal_system": "orthorhombic",
  "delta_e_f_mev_per_atom": -105,
  "sg": "Cmcm",
  "dos_at_fermi_per_ev_cell": 10.57,
  "m_tot_mub_per_atom": 0.000,
  "e_above_lowest_polymorph_kj_per_mol_fu": 9,
  "lattice_angstrom": [[1.839, -6.054, 0.000], [1.839, 6.054, 0.000], [0.000, 0.000, 9.557]],
  "species": ["Tb", "Tb", "Tb", "Tb", "Pm", "Pm", "Co", "Co"],
  "frac_coords": [[0.141, 0.859, 0.573], [0.141, 0.859, 0.927], [0.859, 0.141, 0.073], [0.859, 0.141, 0.427], [0.415, 0.585, 0.750], [0.585, 0.415, 0.250], [0.257, 0.743, 0.250], [0.743, 0.257, 0.750]]
}